Entry 1:
VASP calculation (PBE) on a geometry-optimized ThCrFeSi2 structure.

Cell: 4.0526 4.0526 10.0684 Å, 90.00 90.00 90.00°
Space group I-4m2 (No. 119)
Asymmetric unit:
Th (0.0000, 0.0000, 0.0000)
Cr (0.0000, 0.5000, 0.2500)
Fe (0.0000, 0.5000, 0.7500)
Si (0.0000, 0.0000, 0.3723)

Values from the calculation:
Its calculated total energy is -7.842 eV per atom.

---

Entry 2:
VASP calculation (PBE) on a geometry-optimized TiCrFeSi structure.

Cell: 5.8042 5.8042 5.8042 Å, 90.00 90.00 90.00°
Space group F-43m (No. 216)
Asymmetric unit:
Ti (0.0000, 0.0000, 0.0000)
Cr (0.2500, 0.2500, 0.2500)
Fe (0.2500, 0.2500, 0.7500)
Si (0.0000, 0.0000, 0.5000)

Values from the calculation:
Its calculated total energy is -8.275 eV per atom.

---

| no. | ρ (g/cm3) | raw formation energy (eV per atom) |
| --- | --- | --- |
| 1 | 7.954 | -0.5720 |
| 2 | 6.243 | -0.4240 |